! TlHgCl2 PBE relaxed; values from VASP
&SYSTEM
  ibrav = 0, nat = 4, ntyp = 3
/
ATOMIC_SPECIES
Tl 204.38 Tl.upf
Hg 200.59 Hg.upf
Cl 35.45 Cl.upf
CELL_PARAMETERS angstrom
1.289 0.013 5.188
1.943 4.438 2.261
-2.978 2.747 3.488
ATOMIC_POSITIONS crystal
Tl 0.500 0.500 0.500
Hg 0.000 0.000 0.000
Cl 0.250 0.250 0.250
Cl 0.750 0.750 0.750
! electronic total energy	-2.094	eV per atom
! uncorrected formation energy	-0.504	eV per atom
! magnetization	0.00	μB per atom